# meta-GGA SCAN MgTlAs2, single point on PBEsol structure
data_MgTlAs2
_symmetry_space_group_name_H-M 'C m m m'
_symmetry_Int_Tables_number 65
_symmetry_space_group_name_Hall '-C 2 2'
_cell_length_a 5.906
_cell_length_b 7.706
_cell_length_c 3.756
_cell_angle_alpha 90.00
_cell_angle_beta 90.00
_cell_angle_gamma 90.00
loop_
_atom_site_label
_atom_site_type_symbol
_atom_site_fract_x
_atom_site_fract_y
_atom_site_fract_z
Mg1 Mg 0.000 0.000 0.000
Tl1 Tl 0.000 0.500 0.000
As1 As 0.250 0.250 0.500
# - Formation energy: 0.058 eV/atom
# - Total magnetization: 0.00 μB/f.u.
# - Crystal system: orthorhombic
# - Density: 7.35 Mg/m³
# - Density of states at the Fermi level: 0.424 states/eV per atom
# - E above lowest polymorph: 220.5 meV per atom